(1)
## Cd2SiPt (PBE)

Data for a relaxed structure of Cd2SiPt.

Results
**E_tot**: -12.80 eV per cell
**Spin magnetization**: 0.0 μB/f.u.

The structure in CIF format:
```
data_Cd2SiPt
_chemical_formula_sum 'Cd2 Si1 Pt1'
_space_group_name_H-M_alt 'P 1'
_space_group_IT_number 1
_cell_length_a 4.6635
_cell_length_b 4.6635
_cell_length_c 4.6635
_cell_angle_alpha 60.00
_cell_angle_beta 60.00
_cell_angle_gamma 60.00
loop_
_space_group_symop_operation_xyz
'x,y,z'
loop_
_atom_site_label
_atom_site_fract_x
_atom_site_fract_y
_atom_site_fract_z
_atom_site_occupancy
Pt1 0.2500 0.2500 0.2500 1
Cd1 0.0000 0.0000 0.0000 1
Cd2 0.7500 0.7500 0.7500 1
Si1 0.5000 0.5000 0.5000 1
```

---

(2)
## SmCdPt (PBE)

Data for a relaxed structure of SmCdPt.

Results
**E_tot**: -13.93 eV per cell
**Formation energy**: -219 kJ/mol of formula units
**Spin magnetization**: 0.0 μB/f.u.

The structure in CIF format:
```
data_SmCdPt
_chemical_formula_sum 'Sm1 Cd1 Pt1'
_space_group_name_H-M_alt 'P 1'
_space_group_IT_number 1
_cell_length_a 4.7676
_cell_length_b 4.7676
_cell_length_c 4.7676
_cell_angle_alpha 60.00
_cell_angle_beta 60.00
_cell_angle_gamma 60.00
loop_
_space_group_symop_operation_xyz
'x,y,z'
loop_
_atom_site_label
_atom_site_fract_x
_atom_site_fract_y
_atom_site_fract_z
_atom_site_occupancy
Cd1 0.2500 0.2500 0.2500 1
Sm1 0.7500 0.7500 0.7500 1
Pt1 0.0000 0.0000 0.0000 1
```

---

(3)
## SmCdPt (PBE)

Data for a relaxed structure of SmCdPt.

Results
**E_tot**: -12.37 eV per cell
**Formation energy**: -68 kJ/mol of formula units
**Spin magnetization**: 0.0 μB/f.u.

The structure in CIF format:
```
data_SmCdPt
_chemical_formula_sum 'Sm1 Cd1 Pt1'
_space_group_name_H-M_alt 'P 1'
_space_group_IT_number 1
_cell_length_a 4.8649
_cell_length_b 4.8649
_cell_length_c 4.8649
_cell_angle_alpha 60.00
_cell_angle_beta 60.00
_cell_angle_gamma 60.00
loop_
_space_group_symop_operation_xyz
'x,y,z'
loop_
_atom_site_label
_atom_site_fract_x
_atom_site_fract_y
_atom_site_fract_z
_atom_site_occupancy
Pt1 0.7500 0.7500 0.7500 1
Sm1 0.0000 0.0000 0.0000 1
Cd1 0.2500 0.2500 0.2500 1
```